No. 1
Material: YBiPbF2
Method: DFT, PBE
State: relaxed

Cell: 4.457 4.457 6.593 Å, 90.00 90.00 90.00°
Positions (direct):
1 Y 0.000 0.000 0.000
2 Bi 0.000 0.000 0.500
3 Pb 0.500 0.500 0.500
4 F 0.000 0.500 0.000
5 F 0.500 0.000 0.000

Values from the calculation:
- crystal system = tetragonal
- formation energy from raw total energies (eV per atom) = -2.0830

***

No. 2
Material: CrOsAu
Method: DFT, PBE
State: relaxed

Cell: 2.746 2.746 6.821 Å, 90.00 90.00 120.00°
Positions (direct):
1 Cr 0.000 0.000 0.000
2 Os 0.333 0.667 0.285
3 Au 0.667 0.333 0.659

Values from the calculation:
- crystal system = trigonal
- ΔE_f (eV per atom) = 0.29

***

No. 3
Material: Pr2Ga3Co
Method: DFT, PBE
State: relaxed

Cell: 5.799 5.799 7.333 Å, 128.33 128.33 43.83°
Positions (direct):
1 Pr 0.000 0.000 0.000
2 Pr 0.108 0.108 0.603
3 Ga 0.377 0.377 0.214
4 Ga 0.697 0.697 0.988
5 Ga 0.742 0.742 0.421
6 Co 0.396 0.396 0.597

Values from the calculation:
- crystal system = monoclinic
- ΔE_f (eV per atom) = -0.48

***

No. 4
Material: BePt
Method: DFT, PBE
State: relaxed

Cell: 3.194 3.194 5.042 Å, 90.00 90.00 90.00°
Positions (direct):
1 Be 0.250 0.750 0.000
2 Be 0.750 0.250 0.000
3 Pt 0.250 0.250 0.322
4 Pt 0.750 0.750 0.678

Values from the calculation:
- crystal system = tetragonal
- ΔE_f (eV per atom) = -0.41